[1]
# PBE FeSbHRu2, optimized geometry
# - E: -6.8008 eV per atom
data_FeSbHRu2
_symmetry_space_group_name_H-M 'P 4/m m m'
_symmetry_Int_Tables_number 123
_symmetry_space_group_name_Hall '-P 4 2'
_cell_length_a 4.050
_cell_length_b 4.050
_cell_length_c 3.752
_cell_angle_alpha 90.00
_cell_angle_beta 90.00
_cell_angle_gamma 90.00
loop_
_atom_site_label
_atom_site_type_symbol
_atom_site_fract_x
_atom_site_fract_y
_atom_site_fract_z
Fe1 Fe 0.000 0.000 0.000
Sb1 Sb 0.500 0.500 0.000
H1 H 0.000 0.000 0.500
Ru1 Ru 0.000 0.500 0.500

***

[2]
# PBE Fe2SbHRu, optimized geometry
# - E: -6.6362 eV per atom
data_Fe2SbHRu
_symmetry_space_group_name_H-M 'P 4/m m m'
_symmetry_Int_Tables_number 123
_symmetry_space_group_name_Hall '-P 4 2'
_cell_length_a 3.839
_cell_length_b 3.839
_cell_length_c 4.024
_cell_angle_alpha 90.00
_cell_angle_beta 90.00
_cell_angle_gamma 90.00
loop_
_atom_site_label
_atom_site_type_symbol
_atom_site_fract_x
_atom_site_fract_y
_atom_site_fract_z
Fe1 Fe 0.000 0.500 0.000
Sb1 Sb 0.000 0.000 0.500
H1 H 0.500 0.500 0.000
Ru1 Ru 0.500 0.500 0.500

***

[3]
# PBE ScFeHRu2, optimized geometry
# - E: -7.4383 eV per atom
data_ScFeHRu2
_symmetry_space_group_name_H-M 'P 4/m m m'
_symmetry_Int_Tables_number 123
_symmetry_space_group_name_Hall '-P 4 2'
_cell_length_a 4.123
_cell_length_b 4.123
_cell_length_c 3.588
_cell_angle_alpha 90.00
_cell_angle_beta 90.00
_cell_angle_gamma 90.00
loop_
_atom_site_label
_atom_site_type_symbol
_atom_site_fract_x
_atom_site_fract_y
_atom_site_fract_z
Sc1 Sc 0.000 0.000 0.000
Fe1 Fe 0.500 0.500 0.000
H1 H 0.500 0.500 0.500
Ru1 Ru 0.000 0.500 0.500